First-principles (SCAN) data for a crystal of Rb2NaTbCl6 relaxed with PBEsol, as listed in the Alexandria database.

```
Rb2NaTbCl6
1.0
0.000 5.296 5.296
5.296 0.000 5.296
5.296 5.296 0.000
Rb Na Tb Cl
2 1 1 6
direct
0.250 0.250 0.250 Rb
0.750 0.750 0.750 Rb
0.000 0.000 0.000 Na
0.500 0.500 0.500 Tb
0.254 0.254 0.746 Cl
0.254 0.746 0.254 Cl
0.254 0.746 0.746 Cl
0.746 0.254 0.254 Cl
0.746 0.254 0.746 Cl
0.746 0.746 0.254 Cl
```

## Properties
Symmetry: Fm-3m, No. 225
Uncorrected energy: -16.373 eV per atom
Size of the total moment: 0.00 μB/atom
Fermi-level density of states: 0.0 states/eV/f.u.